Density functional theory data (meta-GGA SCAN) for K4SnTe2Se2 at its PBEsol-relaxed geometry.

Summary:
- energy relative to the elements, uncorrected (eV/atom) = -1.080

```
K4SnTe2Se2
1.0
-1.255 -7.222 -4.069
9.298 -3.693 3.687
-6.807 -5.427 11.730
Se K Te Sn
8 16 8 4
direct
0.138 0.554 0.421
0.362 0.554 0.921
0.862 0.446 0.579
0.638 0.054 0.079
0.138 0.946 0.421
0.862 0.054 0.579
0.638 0.446 0.079
0.362 0.946 0.921
0.851 0.966 0.272
0.351 0.034 0.228
0.149 0.466 0.728
0.149 0.034 0.728
0.500 0.000 0.500
0.519 0.750 0.071
0.019 0.250 0.429
0.481 0.250 0.929
0.649 0.534 0.772
0.649 0.966 0.772
0.500 0.500 0.500
0.000 0.000 0.000
0.351 0.466 0.228
0.981 0.750 0.571
0.000 0.500 0.000
0.851 0.534 0.272
0.884 0.250 0.838
0.940 0.750 0.832
0.440 0.250 0.668
0.116 0.750 0.162
0.560 0.750 0.332
0.384 0.750 0.662
0.060 0.250 0.168
0.616 0.250 0.338
0.770 0.250 0.659
0.230 0.750 0.341
0.730 0.250 0.159
0.270 0.750 0.841
```



Density functional theory data (meta-GGA SCAN) for Be4CuRh at its PBEsol-relaxed geometry.

Summary:
- ΔE_f (eV per formula unit) = -2.39

```
Be4CuRh
1.0
-2.715 3.265 0.291
-3.849 -0.266 -1.798
-3.472 -0.330 2.441
Be Rh Cu
4 1 1
direct
0.875 0.375 0.375
0.375 0.375 0.875
0.375 0.875 0.375
0.375 0.375 0.375
0.000 0.000 0.000
0.750 0.750 0.750
```



Density functional theory data (meta-GGA SCAN) for LiAs2OsBr at its PBEsol-relaxed geometry.

Summary:
- energy relative to the elements, uncorrected (eV/atom) = 0.192

```
LiAs2OsBr
1.0
4.655 0.000 0.000
0.000 4.655 0.000
0.000 0.000 5.708
Os As Br Li
1 2 1 1
direct
0.000 0.000 0.000
0.000 0.500 0.000
0.500 0.000 0.000
0.000 0.000 0.500
0.500 0.500 0.500
```



Here are the calculated M_tot numbers, same order: 0.0; 0.0; 0.0 (Bohr magnetons per cell).